The following is a PBE calculation of an optimized crystal structure of BeTlH2Se, from Alexandria via LeMat-Bulk.

Summary:
mass density	5.7	g/cm3
density of states at the Fermi level	1.429	states/eV/cell
space-group type	P4/mmm, No. 123
volume	17.04	Å³ per atom
uncorrected energy	-2.711	eV/atom

Unit cell a=3.6593 b=6.3636 c=3.6593 alpha=90.00 beta=90.00 gamma=90.00
Closest atoms and distances in Å follow each position.
Element x y z (fractional)
H (0.5000, 0.0000, 0.0000)  2 Se 1.83
H (0.0000, 0.0000, 0.5000)  2 Se 1.83
Se (0.0000, 0.0000, 0.0000)  4 H 1.83
Tl (0.0000, 0.5000, 0.0000)  4 Be 2.59
Be (0.5000, 0.5000, 0.5000)  4 Tl 2.59